[1]
Compound: CeDyAsP
Source: Alexandria
Functional: GGA-PBE
Structure: optimized geometry

Computed properties:
Energy of formation from the pure elements (meV/atom): -1518
E (eV/f.u.): -26.67
Volume (Å³/f.u.): 98

Cell lengths 4.1065, 4.1065, 7.1080 Å; angles 73.21, 73.21, 60.00 degrees
Positions (direct):
Ce1 0.9975 0.9975 0.0076
Dy1 0.5026 0.5026 0.4923
As1 0.7512 0.7512 0.7464
P1 0.2488 0.2488 0.2537



[2]
Compound: ReSiTc
Source: Alexandria
Functional: GGA-PBE
Structure: optimized geometry

Computed properties:
Polymorph energy (0 for the lowest one) (meV per atom): 133
E (eV/f.u.): -28.79
Volume (Å³/f.u.): 42

Cell lengths 4.5323, 4.8741, 7.6456 Å; angles 90.00, 90.00, 90.00 degrees
Positions (direct):
Re1 0.2500 0.6767 0.6715
Re2 0.7500 0.3233 0.6715
Re3 0.2500 0.1767 0.1715
Re4 0.7500 0.8233 0.1715
Si1 0.2500 0.1749 0.5081
Si2 0.7500 0.8251 0.5081
Si3 0.2500 0.6749 0.0081
Si4 0.7500 0.3251 0.0081
Tc1 0.2500 0.6777 0.3449
Tc2 0.7500 0.3223 0.3449
Tc3 0.2500 0.1777 0.8449
Tc4 0.7500 0.8223 0.8449



[3]
Compound: DyMgScCo
Source: Alexandria
Functional: GGA-PBE
Structure: optimized geometry

Computed properties:
Energy of formation from the pure elements (meV/atom): -27
Polymorph energy (0 for the lowest one) (meV per atom): 145
E (eV/f.u.): -19.74
Volume (Å³/f.u.): 81

Cell lengths 4.8646, 4.8646, 4.8646 Å; angles 60.00, 60.00, 60.00 degrees
Positions (direct):
Sc1 0.0000 0.0000 0.0000
Mg1 0.2500 0.2500 0.2500
Co1 0.7500 0.7500 0.7500
Dy1 0.5000 0.5000 0.5000



[4]
Compound: Mo2As
Source: Alexandria
Functional: GGA-PBE
Structure: optimized geometry

Computed properties:
Energy of formation from the pure elements (meV/atom): 114
Polymorph energy (0 for the lowest one) (meV per atom): 147
E (eV/f.u.): -25.97
Volume (Å³/f.u.): 47

Cell lengths 4.9674, 4.9674, 4.9674 Å; angles 107.33, 107.33, 113.84 degrees
Positions (direct):
Mo1 0.1589 0.3411 0.5000
Mo2 0.8411 0.6589 0.5000
Mo3 0.6589 0.1589 0.8178
Mo4 0.3411 0.8411 0.1822
As1 0.7500 0.7500 0.0000
As2 0.2500 0.2500 0.0000



[5]
Compound: Ba8SrTl2
Source: Alexandria
Functional: GGA-PBE
Structure: optimized geometry

Computed properties:
Energy of formation from the pure elements (meV/atom): -139
E (eV/f.u.): -23.33
Volume (Å³/f.u.): 587

Cell lengths 5.9165, 9.5505, 11.5764 Å; angles 68.90, 75.20, 89.99 degrees
Positions (direct):
Ba1 0.8948 0.5086 0.1792
Ba2 0.1806 0.9612 0.6076
Ba3 0.3099 0.7018 0.3490
Ba4 0.4568 0.2519 0.0548
Ba5 0.6891 0.2987 0.5904
Ba6 0.8184 0.0393 0.3318
Ba7 0.1043 0.4919 0.7602
Ba8 0.5422 0.7487 0.8845
Sr1 0.9995 0.0003 0.9697
Tl1 0.3088 0.3103 0.3515
Tl2 0.6903 0.6903 0.5879



[6]
Compound: MnBeBr4
Source: Alexandria
Functional: GGA-PBE
Structure: optimized geometry

Computed properties:
E (eV/f.u.): -12.91
Volume (Å³/f.u.): 176

Cell lengths 6.2892, 6.2892, 6.2892 Å; angles 60.00, 60.00, 60.00 degrees
Positions (direct):
Mn1 0.7500 0.7500 0.7500
Be1 0.0000 0.0000 0.0000
Br1 0.8735 0.3755 0.3755
Br2 0.3755 0.3755 0.8735
Br3 0.3755 0.8735 0.3755
Br4 0.3755 0.3755 0.3755



[7]
Compound: Tm3Mg2In
Source: Alexandria
Functional: GGA-PBE
Structure: optimized geometry

Computed properties:
Energy of formation from the pure elements (meV/atom): -199
Polymorph energy (0 for the lowest one) (meV per atom): 14
E (eV/f.u.): -20.54
Volume (Å³/f.u.): 156

Cell lengths 3.7438, 3.7438, 11.1596 Å; angles 90.00, 90.00, 90.00 degrees
Positions (direct):
Tm1 0.0000 0.0000 0.0000
Tm2 0.0000 0.0000 0.6668
Tm3 0.0000 0.0000 0.3332
Mg1 0.5000 0.5000 0.8350
Mg2 0.5000 0.5000 0.1650
In1 0.5000 0.5000 0.5000



[8]
Compound: Al2SbMo
Source: Alexandria
Functional: GGA-PBE
Structure: optimized geometry

Computed properties:
E (eV/f.u.): -21.91
Volume (Å³/f.u.): 71

Cell lengths 4.9928, 4.9928, 4.9653 Å; angles 83.82, 83.82, 35.48 degrees
Positions (direct):
Sb1 0.2363 0.2363 0.2674
Mo1 0.4965 0.4965 0.5135
Al1 0.0073 0.0073 0.9745
Al2 0.7599 0.7599 0.7446



[9]
Compound: Tb2SeI2
Source: Alexandria
Functional: GGA-PBE
Structure: optimized geometry

Computed properties:
E (eV/f.u.): -23.48
Volume (Å³/f.u.): 179

Cell lengths 4.2059, 4.2037, 11.9038 Å; angles 81.00, 79.82, 59.98 degrees
Positions (direct):
Tb1 0.7136 0.1996 0.3731
Tb2 0.2864 0.8004 0.6269
Se1 0.0000 0.5000 0.5000
I1 0.4443 0.9110 0.2003
I2 0.5557 0.0890 0.7997



[10]
Compound: KInWCl2
Source: Alexandria
Functional: GGA-PBE
Structure: optimized geometry

Computed properties:
E (eV/f.u.): -20.45
Volume (Å³/f.u.): 133

Cell lengths 4.9223, 5.4866, 4.9223 Å; angles 90.00, 90.00, 90.00 degrees
Positions (direct):
K1 0.5000 0.5000 0.5000
Cl1 0.0000 0.0000 0.5000
Cl2 0.5000 0.0000 0.0000
W1 0.0000 0.0000 0.0000
In1 0.0000 0.5000 0.0000



[11]
Compound: RbTcNi2P
Source: Alexandria
Functional: GGA-PBE
Structure: optimized geometry

Computed properties:
Energy of formation from the pure elements (meV/atom): 2524
E (eV/f.u.): -15.68
Volume (Å³/f.u.): 112

Cell lengths 4.4445, 5.6753, 4.4445 Å; angles 90.00, 90.00, 90.00 degrees
Positions (direct):
Ni1 0.0000 0.0000 0.5000
Ni2 0.5000 0.0000 0.0000
Tc1 0.5000 0.5000 0.5000
Rb1 0.0000 0.0000 0.0000
P1 0.0000 0.5000 0.0000



[12]
Compound: CdGePb3
Source: Alexandria
Functional: GGA-PBE
Structure: optimized geometry

Computed properties:
Energy of formation from the pure elements (meV/atom): 677
Polymorph energy (0 for the lowest one) (meV per atom): 214
E (eV/f.u.): -13.27
Volume (Å³/f.u.): 178

Cell lengths 5.6225, 5.6225, 5.6225 Å; angles 90.00, 90.00, 90.00 degrees
Positions (direct):
Pb1 0.0000 0.5000 0.0000
Pb2 0.0000 0.0000 0.5000
Pb3 0.5000 0.0000 0.0000
Ge1 0.5000 0.5000 0.5000
Cd1 0.0000 0.0000 0.0000



| no. | total moment (μB/f.u.) |
| --- | --- |
| 1 | 0.570 |
| 2 | 0.000 |
| 3 | 0.190 |
| 4 | 0.000 |
| 5 | 0.000 |
| 6 | 3.625 |
| 7 | 0.000 |
| 8 | 0.000 |
| 9 | 0.000 |
| 10 | 0.302 |
| 11 | 4.248 |
| 12 | 0.000 |